{
  "formula": "MnRu2F8",
  "functional": "GGA+U",
  "state": "relaxed",
  "lattice_angstrom": [[-2.831, -3.035, -0.123], [2.981, -2.556, -5.556], [1.958, -2.076, 6.176]],
  "species": ["F", "F", "F", "Mn", "F", "F", "Ru", "F", "Ru", "F", "F"],
  "frac_coords": [[0.248, 0.162, 0.840], [0.748, 0.333, 0.667], [0.248, 0.160, 0.321], [0.000, 0.000, 0.000], [0.752, 0.838, 0.160], [0.752, 0.840, 0.679], [0.752, 0.667, 0.333], [0.752, 0.321, 0.162], [0.248, 0.333, 0.667], [0.248, 0.679, 0.838], [0.252, 0.667, 0.333]],
  "density_g_cm3": 4.08,
  "volume_a3_per_cell": 166.4,
  "energy_ev_per_atom": -5.328,
  "space_group": "P-3 (147)"
}